# 1
## KNpCl5 (PBE)

Data for KNpCl5 after structural relaxation.

abc: 7.5530 7.5530 10.6252
angles: 109.83 109.83 69.75
Sites, in units of the cell vectors:
K: 0.0400 0.9600 0.7500
K: 0.9600 0.0400 0.2500
Np: 0.5000 0.5000 0.0000
Np: 0.5000 0.5000 0.5000
Cl: 0.1559 0.7302 0.0085
Cl: 0.2054 0.3591 0.3810
Cl: 0.2698 0.8441 0.4915
Cl: 0.3591 0.2054 0.8810
Cl: 0.4286 0.5714 0.7500
Cl: 0.5714 0.4286 0.2500
Cl: 0.6409 0.7946 0.1190
Cl: 0.7302 0.1559 0.5085
Cl: 0.7946 0.6409 0.6190
Cl: 0.8441 0.2698 0.9915

## Properties
Space-group type: C2/c (15)
DOS at the Fermi energy (states/eV per cell): 10.570

# 2
## VSbC3 (PBE)

Data for VSbC3 after structural relaxation.

abc: 3.9957 3.9957 3.9957
angles: 90.00 90.00 90.00
Sites, in units of the cell vectors:
V: 0.0000 0.0000 0.0000
Sb: 0.5000 0.5000 0.5000
C: 0.0000 0.0000 0.5000
C: 0.0000 0.5000 0.0000
C: 0.5000 0.0000 0.0000

## Properties
Space-group type: Pm-3m (221)
DOS at the Fermi energy (states/eV per cell): 5.120

# 3
## MnCd2Br (PBE)

Data for MnCd2Br after structural relaxation.

abc: 13.3921 3.2166 4.6487
angles: 90.00 110.23 90.00
Sites, in units of the cell vectors:
Mn: 0.0000 0.0000 0.0000
Mn: 0.5000 0.5000 0.0000
Cd: 0.2021 0.5000 0.2023
Cd: 0.2979 0.0000 0.7977
Cd: 0.7021 0.0000 0.2023
Cd: 0.7979 0.5000 0.7977
Br: 0.0000 0.5000 0.5000
Br: 0.5000 0.0000 0.5000

## Properties
Space-group type: C2/m (12)
DOS at the Fermi energy (states/eV per cell): 3.959

# 4
## NdZn2GeN4 (PBE)

Data for NdZn2GeN4 after structural relaxation.

abc: 5.3700 5.3700 7.1057
angles: 90.00 90.00 90.00
Sites, in units of the cell vectors:
Nd: 0.0000 0.0000 0.0000
Nd: 0.5000 0.5000 0.5000
Zn: 0.0000 0.5000 0.2500
Zn: 0.0000 0.5000 0.7500
Zn: 0.5000 0.0000 0.2500
Zn: 0.5000 0.0000 0.7500
Ge: 0.0000 0.0000 0.5000
Ge: 0.5000 0.5000 0.0000
N: 0.2050 0.2050 0.6462
N: 0.2050 0.7950 0.3538
N: 0.2950 0.2950 0.1462
N: 0.2950 0.7050 0.8538
N: 0.7050 0.2950 0.8538
N: 0.7050 0.7050 0.1462
N: 0.7950 0.2050 0.3538
N: 0.7950 0.7950 0.6462

## Properties
Space-group type: I-42m (121)
DOS at the Fermi energy (states/eV per cell): 10.963

Energy relative to the elements, uncorrected per entry: -1.74; 1.75; 0.14; -0.27 eV per atom